(1)
DFT (PBE) results for a relaxed structure of PPdPt.

Its formation energy is -44 meV per atom. Its energy above the lowest structure with this stoichiometry is 353 meV/atom.

The structure belongs to space group I4mm (No. 107); the cell edges are 3.567, 3.567 and 7.325 Å and the angles 90.00°, 90.00° and 90.00°. The asymmetric unit holds P at (0.000, 0.000, 0.000), Pd at (0.000, 0.000, 0.316) and Pt at (0.000, 0.000, 0.678).

***

(2)
DFT (PBE) results for a relaxed structure of PPd2Pt4.

Its formation energy is 318 meV per atom.

The structure belongs to space group I4/mmm (No. 139); the cell edges are 4.539, 4.539 and 12.573 Å and the angles 90.00°, 90.00° and 90.00°. The asymmetric unit holds P at (0.000, 0.000, 0.000), Pd at (0.000, 0.000, 0.380), Pt at (0.000, 0.000, 0.177) and Pt at (0.000, 0.500, 0.000).

***

(3)
DFT (PBE) results for a relaxed structure of PPd2Pt.

Its formation energy is -180 meV per atom.

The structure belongs to space group P1 (No. 1); the cell edges are 2.823, 4.796 and 5.423 Å and the angles 63.86°, 75.00° and 89.96°. The asymmetric unit holds P at (0.000, 0.000, 0.000), Pd at (0.237, 0.114, 0.534), Pd at (0.770, 0.648, 0.466) and Pt at (0.998, 0.477, 0.000).

***

(4)
DFT (PBE) results for a relaxed structure of PPdPt.

Its formation energy is -397 meV per atom. Its energy above the lowest structure with this stoichiometry is 0 meV/atom.

The structure belongs to space group Pnma (No. 62); the cell edges are 7.653, 3.364 and 7.098 Å and the angles 90.00°, 90.00° and 90.00°. The asymmetric unit holds P at (0.208, 0.250, 0.131), Pd at (0.047, 0.250, 0.843) and Pt at (0.146, 0.250, 0.456).

***

(5)
DFT (PBE) results for a relaxed structure of PPd2Pt2.

Its formation energy is 116 meV per atom. Its energy above the lowest structure with this stoichiometry is 442 meV/atom.

The structure belongs to space group P4/mbm (No. 127); the cell edges are 6.161, 6.161 and 4.241 Å and the angles 90.00°, 90.00° and 90.00°. The asymmetric unit holds P at (0.000, 0.000, 0.000), Pd at (0.154, 0.346, 0.000) and Pt at (0.156, 0.656, 0.500).

***

(6)
DFT (PBE) results for a relaxed structure of PPdPt.

Its formation energy is -335 meV per atom. Its energy above the lowest structure with this stoichiometry is 62 meV/atom.

The structure belongs to space group F-43m (No. 216); the cell edges are 5.743, 5.743 and 5.743 Å and the angles 90.00°, 90.00° and 90.00°. The asymmetric unit holds P at (0.000, 0.000, 0.000), Pd at (0.250, 0.250, 0.750) and Pt at (0.250, 0.250, 0.250).

***

(7)
DFT (PBE) results for a relaxed structure of Pu3P2Pd9Pt.

Its formation energy is 77 meV per atom.

The structure belongs to space group P-3m1 (No. 164); the cell edges are 5.6232, 5.6232 and 13.0282 Å and the angles 90.00°, 90.00° and 120.00°. The asymmetric unit holds Pu at (0.0000, 0.0000, 0.0000), Pu at (0.3333, 0.6667, 0.8154), P at (0.3333, 0.6667, 0.5012), Pd at (0.0000, 0.5000, 0.0000), Pd at (0.9999, 0.4999, 0.3730) and Pt at (0.0000, 0.0000, 0.5000).

***

(8)
DFT (PBE) results for a relaxed structure of Rb2P2Pd2Pt.

Its formation energy is -472 meV per atom.

The structure belongs to space group C2/m (No. 12); the cell edges are 13.512, 4.386 and 8.649 Å and the angles 90.00°, 129.56° and 90.00°. The asymmetric unit holds Rb at (0.060, 0.000, 0.284), P at (0.209, 0.500, 0.786), Pd at (0.243, 0.500, 0.091) and Pt at (0.000, 0.500, 0.500).

***

(9)
DFT (PBE) results for a relaxed structure of Rb2P2PdPt.

Its formation energy is -417 meV per atom.

The structure belongs to space group Ibam (No. 72); the cell edges are 5.986, 21.064 and 6.144 Å and the angles 90.00°, 90.00° and 90.00°. The asymmetric unit holds Rb at (0.247, 0.143, 0.000), P at (0.243, 0.447, 0.000), Pd at (0.000, 0.000, 0.250) and Pt at (0.000, 0.500, 0.250).

***

(10)
DFT (PBE) results for a relaxed structure of P2PdPtS.

Its energy above the lowest structure with this stoichiometry is 161 meV/atom. The formation energy (no corrections) comes out at 1.01 eV/atom.

The structure belongs to space group P4/mmm (No. 123); the cell edges are 4.559, 4.559 and 4.720 Å and the angles 90.00°, 90.00° and 90.00°. The asymmetric unit holds P at (0.000, 0.500, 0.000), Pd at (0.000, 0.000, 0.000), Pt at (0.500, 0.500, 0.500) and S at (0.000, 0.000, 0.500).

***

(11)
DFT (PBE) results for a relaxed structure of PPdPtS2.

Its energy above the lowest structure with this stoichiometry is 196 meV/atom. The formation energy (no corrections) comes out at 1.02 eV/atom.

The structure belongs to space group P4/mmm (No. 123); the cell edges are 4.678, 4.678 and 4.528 Å and the angles 90.00°, 90.00° and 90.00°. The asymmetric unit holds P at (0.000, 0.000, 0.000), Pd at (0.000, 0.000, 0.500), Pt at (0.500, 0.500, 0.000) and S at (0.000, 0.500, 0.500).

***

(12)
DFT (PBE) results for a relaxed structure of P2PdPtS.

Its energy above the lowest structure with this stoichiometry is 0 meV/atom. The formation energy (no corrections) comes out at 0.85 eV/atom.

The structure belongs to space group P4/mmm (No. 123); the cell edges are 4.566, 4.566 and 4.977 Å and the angles 90.00°, 90.00° and 90.00°. The asymmetric unit holds P at (0.000, 0.500, 0.000), Pd at (0.000, 0.000, 0.500), Pt at (0.500, 0.500, 0.000) and S at (0.500, 0.500, 0.500).

***

(13)
DFT (PBE) results for a relaxed structure of PPdPtS2.

Its energy above the lowest structure with this stoichiometry is 0 meV/atom. The formation energy (no corrections) comes out at 0.83 eV/atom.

The structure belongs to space group P4/mmm (No. 123); the cell edges are 4.859, 4.859 and 4.449 Å and the angles 90.00°, 90.00° and 90.00°. The asymmetric unit holds P at (0.000, 0.000, 0.000), Pd at (0.500, 0.500, 0.000), Pt at (0.000, 0.000, 0.500) and S at (0.000, 0.500, 0.500).

***

(14)
DFT (PBE) results for a relaxed structure of Sm2P4PdPt3.

Its formation energy is -988 meV per atom.

The structure belongs to space group P-4m2 (No. 115); the cell edges are 4.307, 4.307 and 9.485 Å and the angles 90.00°, 90.00° and 90.00°. The asymmetric unit holds Sm at (0.000, 0.500, 0.246), P at (0.000, 0.000, 0.000), P at (0.000, 0.500, 0.633), P at (0.500, 0.500, 0.000), Pd at (0.000, 0.000, 0.500), Pt at (0.000, 0.500, 0.884) and Pt at (0.500, 0.500, 0.500).

***

(15)
DFT (PBE) results for a relaxed structure of Sm2P3PdPt12.

Its formation energy is -357 meV per atom.

The structure belongs to space group R-3m (No. 166, hexagonal axes); the cell edges are 8.2575, 8.2575 and 17.8748 Å and the angles 90.00°, 90.00° and 120.00°. The asymmetric unit holds Sm at (0.0000, 0.0000, 0.1101), P at (0.0000, 0.5000, 0.0000), Pd at (0.0000, 0.0000, 0.5000), Pt at (0.0083, 0.5042, 0.8732) and Pt at (0.0329, 0.5164, 0.3621).

***

(16)
DFT (PBE) results for a relaxed structure of Sr2P3PdPt12.

Its formation energy is -272 meV per atom.

The structure belongs to space group R-3m (No. 166, hexagonal axes); the cell edges are 8.2927, 8.2927 and 18.3992 Å and the angles 90.00°, 90.00° and 120.00°. The asymmetric unit holds Sr at (0.0000, 0.0000, 0.1092), P at (0.0000, 0.5000, 0.0000), Pd at (0.0000, 0.0000, 0.5000), Pt at (0.0003, 0.5001, 0.1223) and Pt at (0.0430, 0.5215, 0.3610).

***

(17)
DFT (PBE) results for a relaxed structure of Sr2P3PdPt4.

Its formation energy is -731 meV per atom.

The structure belongs to space group P-4m2 (No. 115); the cell edges are 4.346, 4.346 and 9.945 Å and the angles 90.00°, 90.00° and 90.00°. The asymmetric unit holds Sr at (0.000, 0.500, 0.243), P at (0.000, 0.000, 0.000), P at (0.000, 0.500, 0.623), Pd at (0.500, 0.500, 0.000), Pt at (0.000, 0.000, 0.500), Pt at (0.000, 0.500, 0.854) and Pt at (0.500, 0.500, 0.500).

***

(18)
DFT (PBE) results for a relaxed structure of Tb2P3PdPt12.

Its formation energy is -361 meV per atom.

The structure belongs to space group R-3m (No. 166, hexagonal axes); the cell edges are 8.2582, 8.2582 and 17.5890 Å and the angles 90.00°, 90.00° and 120.00°. The asymmetric unit holds Tb at (0.0000, 0.0000, 0.1084), P at (0.0000, 0.5000, 0.0000), Pd at (0.0000, 0.0000, 0.5000), Pt at (0.0114, 0.5057, 0.8713) and Pt at (0.0308, 0.5154, 0.3628).

***

(19)
DFT (PBE) results for a relaxed structure of Tb2PPd2Pt4.

Its formation energy is -940 meV per atom.

The structure belongs to space group I4/mmm (No. 139); the cell edges are 6.150, 6.150 and 8.583 Å and the angles 90.00°, 90.00° and 90.00°. The asymmetric unit holds Tb at (0.000, 0.500, 0.250), P at (0.000, 0.000, 0.000), Pd at (0.000, 0.000, 0.270) and Pt at (0.235, 0.235, 0.500).

***

(20)
DFT (PBE) results for a relaxed structure of Tb2P3PdPt4.

Its formation energy is -854 meV per atom.

The structure belongs to space group P-4m2 (No. 115); the cell edges are 4.129, 4.129 and 10.383 Å and the angles 90.00°, 90.00° and 90.00°. The asymmetric unit holds Tb at (0.000, 0.500, 0.248), P at (0.000, 0.500, 0.872), P at (0.500, 0.500, 0.500), Pd at (0.000, 0.000, 0.500), Pt at (0.000, 0.000, 0.000), Pt at (0.000, 0.500, 0.655) and Pt at (0.500, 0.500, 0.000).

***

(21)
DFT (PBE) results for a relaxed structure of TbP2Pd2Pt7.

Its formation energy is -508 meV per atom.

The structure belongs to space group C2/m (No. 12); the cell edges are 5.665, 5.618 and 12.986 Å and the angles 90.00°, 97.99° and 90.00°. The asymmetric unit holds Tb at (0.000, 0.000, 0.000), P at (0.086, 0.500, 0.274), Pd at (0.229, 0.500, 0.628), Pt at (0.000, 0.500, 0.000), Pt at (0.199, 0.000, 0.569) and Pt at (0.202, 0.249, 0.828).

***

(22)
DFT (PBE) results for a relaxed structure of Tl2P3PdPt12.

Its formation energy is -81 meV per atom.

The structure belongs to space group R-3m (No. 166, hexagonal axes); the cell edges are 8.1395, 8.1395 and 17.7518 Å and the angles 90.00°, 90.00° and 120.00°. The asymmetric unit holds Tl at (0.0000, 0.0000, 0.1077), P at (0.0000, 0.5000, 0.0000), Pd at (0.0000, 0.0000, 0.5000), Pt at (0.0170, 0.5085, 0.8715) and Pt at (0.0240, 0.5120, 0.3678).